Entry 1:
DFT (GGA-PBE) results for MgSn2Pd2 after structural relaxation.

Calculated volume (Å³/f.u.): 100.4
Density of states at the Fermi level (states/eV/cell): 4.50
Total energy (eV per atom): -4.413

CIF file:
```
data_MgSn2Pd2
_cell_length_a 7.1640
_cell_length_b 7.1640
_cell_length_c 3.9140
_cell_angle_alpha 90.00
_cell_angle_beta 90.00
_cell_angle_gamma 90.00
_symmetry_space_group_name_H-M 'P 4/m b m'
_symmetry_Int_Tables_number 127
_symmetry_space_group_name_Hall '-P 4 2ab'
loop_
_atom_site_label
_atom_site_type_symbol
_atom_site_fract_x
_atom_site_fract_y
_atom_site_fract_z
_atom_site_occupancy
Mg1 Mg 0.0000 0.0000 0.0000 1
Sn1 Sn 0.1611 0.3389 0.5000 1
Pd1 Pd 0.1420 0.6420 0.0000 1
```

Entry 2:
DFT (GGA-PBE) results for AsRu2Pb after structural relaxation.

Calculated volume (Å³/f.u.): 75.2
Density of states at the Fermi level (states/eV/cell): 6.64
Offset from the most stable computed form (meV per atom): 9

CIF file:
```
data_AsRu2Pb
_cell_length_a 7.1325
_cell_length_b 3.1100
_cell_length_c 7.1265
_cell_angle_alpha 90.00
_cell_angle_beta 107.94
_cell_angle_gamma 90.00
_symmetry_space_group_name_H-M 'C 1 2/m 1'
_symmetry_Int_Tables_number 12
_symmetry_space_group_name_Hall '-C 2y'
loop_
_atom_site_label
_atom_site_type_symbol
_atom_site_fract_x
_atom_site_fract_y
_atom_site_fract_z
_atom_site_occupancy
As1 As 0.0000 0.0000 0.0000 1
Ru1 Ru 0.2347 0.0000 0.8209 1
Pb1 Pb 0.0000 0.5000 0.5000 1
```

Entry 3:
DFT (GGA-PBE) results for PuAl4Au6 after structural relaxation.

Calculated volume (Å³/f.u.): 204.1
Density of states at the Fermi level (states/eV/cell): 15.70
Offset from the most stable computed form (meV per atom): 0

CIF file:
```
data_PuAl4Au6
_cell_length_a 7.4557
_cell_length_b 7.4557
_cell_length_c 4.2393
_cell_angle_alpha 90.00
_cell_angle_beta 90.00
_cell_angle_gamma 120.00
_symmetry_space_group_name_H-M 'P -6 m 2'
_symmetry_Int_Tables_number 187
_symmetry_space_group_name_Hall 'P -6 2'
loop_
_atom_site_label
_atom_site_type_symbol
_atom_site_fract_x
_atom_site_fract_y
_atom_site_fract_z
_atom_site_occupancy
Pu1 Pu 0.0000 0.0000 0.0000 1
Al1 Al 0.3333 0.6667 0.0000 1
Al2 Al 0.3977 0.1988 0.5000 1
Au1 Au 0.1947 0.3895 0.5000 1
Au2 Au 0.5343 0.0686 0.0000 1
```

Entry 4:
DFT (GGA-PBE) results for Pr2Br3 after structural relaxation.

Calculated volume (Å³/f.u.): 164.1
Density of states at the Fermi level (states/eV/cell): 24.53
Total energy (eV per atom): -4.252

CIF file:
```
data_Pr2Br3
_cell_length_a 6.8310
_cell_length_b 6.8310
_cell_length_c 24.3593
_cell_angle_alpha 90.00
_cell_angle_beta 90.00
_cell_angle_gamma 120.00
_symmetry_space_group_name_H-M 'R -3 c'
_symmetry_Int_Tables_number 167
_symmetry_space_group_name_Hall '-R 3 2"c'
loop_
_atom_site_label
_atom_site_type_symbol
_atom_site_fract_x
_atom_site_fract_y
_atom_site_fract_z
_atom_site_occupancy
Pr1 Pr 0.0000 0.0000 0.1687 1
Br1 Br 0.0000 0.3374 0.2500 1
```

Entry 5:
DFT (GGA-PBE) results for Cs2BiSI3 after structural relaxation.

Calculated volume (Å³/f.u.): 335.1
Density of states at the Fermi level (states/eV/cell): 0.93
Total energy (eV per atom): -3.016

CIF file:
```
data_Cs2BiSI3
_cell_length_a 5.4067
_cell_length_b 6.2599
_cell_length_c 19.8004
_cell_angle_alpha 90.00
_cell_angle_beta 90.00
_cell_angle_gamma 90.00
_symmetry_space_group_name_H-M 'I m m m'
_symmetry_Int_Tables_number 71
_symmetry_space_group_name_Hall '-I 2 2'
loop_
_atom_site_label
_atom_site_type_symbol
_atom_site_fract_x
_atom_site_fract_y
_atom_site_fract_z
_atom_site_occupancy
Cs1 Cs 0.0000 0.0000 0.1384 1
Bi1 Bi 0.0000 0.0000 0.5000 1
S1 S 0.0000 0.5000 0.0000 1
I1 I 0.0000 0.0000 0.3380 1
I2 I 0.0000 0.5000 0.5000 1
```

Entry 6:
DFT (GGA-PBE) results for NdSc2Ga after structural relaxation.

Calculated volume (Å³/f.u.): 96.5
Density of states at the Fermi level (states/eV/cell): 3.86
Offset from the most stable computed form (meV per atom): 0

CIF file:
```
data_NdSc2Ga
_cell_length_a 3.3672
_cell_length_b 3.3672
_cell_length_c 8.5142
_cell_angle_alpha 90.00
_cell_angle_beta 90.00
_cell_angle_gamma 90.00
_symmetry_space_group_name_H-M 'P 4/m m m'
_symmetry_Int_Tables_number 123
_symmetry_space_group_name_Hall '-P 4 2'
loop_
_atom_site_label
_atom_site_type_symbol
_atom_site_fract_x
_atom_site_fract_y
_atom_site_fract_z
_atom_site_occupancy
Nd1 Nd 0.0000 0.0000 0.0000 1
Sc1 Sc 0.5000 0.5000 0.2997 1
Ga1 Ga 0.0000 0.0000 0.5000 1
```

Entry 7:
DFT (GGA-PBE) results for NbGeBr2 after structural relaxation.

Calculated volume (Å³/f.u.): 79.3
Density of states at the Fermi level (states/eV/cell): 15.02
Offset from the most stable computed form (meV per atom): 531

CIF file:
```
data_NbGeBr2
_cell_length_a 6.8186
_cell_length_b 6.8186
_cell_length_c 6.8186
_cell_angle_alpha 90.00
_cell_angle_beta 90.00
_cell_angle_gamma 90.00
_symmetry_space_group_name_H-M 'F m -3 m'
_symmetry_Int_Tables_number 225
_symmetry_space_group_name_Hall '-F 4 2 3'
loop_
_atom_site_label
_atom_site_type_symbol
_atom_site_fract_x
_atom_site_fract_y
_atom_site_fract_z
_atom_site_occupancy
Nb1 Nb 0.0000 0.0000 0.0000 1
Ge1 Ge 0.0000 0.0000 0.5000 1
Br1 Br 0.2500 0.2500 0.2500 1
```

Entry 8:
DFT (GGA-PBE) results for Nd2MgAs after structural relaxation.

Calculated volume (Å³/f.u.): 106.0
Density of states at the Fermi level (states/eV/cell): 2.80
Offset from the most stable computed form (meV per atom): 0

CIF file:
```
data_Nd2MgAs
_cell_length_a 3.9186
_cell_length_b 3.9186
_cell_length_c 6.9020
_cell_angle_alpha 90.00
_cell_angle_beta 90.00
_cell_angle_gamma 90.00
_symmetry_space_group_name_H-M 'P 4/m m m'
_symmetry_Int_Tables_number 123
_symmetry_space_group_name_Hall '-P 4 2'
loop_
_atom_site_label
_atom_site_type_symbol
_atom_site_fract_x
_atom_site_fract_y
_atom_site_fract_z
_atom_site_occupancy
Nd1 Nd 0.0000 0.0000 0.2320 1
Mg1 Mg 0.5000 0.5000 0.5000 1
As1 As 0.5000 0.5000 0.0000 1
```

Entry 9:
DFT (GGA-PBE) results for Nd2SmPt9 after structural relaxation.

Calculated volume (Å³/f.u.): 231.0
Density of states at the Fermi level (states/eV/cell): 29.94
Total energy (eV per atom): -6.633

CIF file:
```
data_Nd2SmPt9
_cell_length_a 5.4629
_cell_length_b 5.4629
_cell_length_c 26.8156
_cell_angle_alpha 90.00
_cell_angle_beta 90.00
_cell_angle_gamma 120.00
_symmetry_space_group_name_H-M 'R -3 m'
_symmetry_Int_Tables_number 166
_symmetry_space_group_name_Hall '-R 3 2"'
loop_
_atom_site_label
_atom_site_type_symbol
_atom_site_fract_x
_atom_site_fract_y
_atom_site_fract_z
_atom_site_occupancy
Nd1 Nd 0.0000 0.0000 0.1390 1
Sm1 Sm 0.0000 0.0000 0.0000 1
Pt1 Pt 0.0000 0.0000 0.3330 1
Pt2 Pt 0.0000 0.0000 0.5000 1
Pt3 Pt 0.0036 0.5018 0.9157 1
```

Entry 10:
DFT (GGA-PBE) results for Cs2TlPtO4 after structural relaxation.

Calculated volume (Å³/f.u.): 262.1
Density of states at the Fermi level (states/eV/cell): 38.60
Total energy (eV per atom): -4.575

CIF file:
```
data_Cs2TlPtO4
_cell_length_a 6.4516
_cell_length_b 14.4070
_cell_length_c 22.5557
_cell_angle_alpha 90.00
_cell_angle_beta 90.00
_cell_angle_gamma 90.00
_symmetry_space_group_name_H-M 'F d d d'
_symmetry_Int_Tables_number 70
loop_
_symmetry_equiv_pos_as_xyz
'x,y,z'
'-x,-y,-z'
'-x+1/4,-y+1/4,z'
'x+1/4,y+1/4,-z'
'x,-y+1/4,-z+1/4'
'-x,y+1/4,z+1/4'
'-x+1/4,y,-z+1/4'
'x+1/4,-y,z+1/4'
'x,y+1/2,z+1/2'
'-x,-y+1/2,-z+1/2'
'-x+1/4,-y+3/4,z+1/2'
'x+1/4,y+3/4,-z+1/2'
'x,-y+3/4,-z+3/4'
'-x,y+3/4,z+3/4'
'-x+1/4,y+1/2,-z+3/4'
'x+1/4,-y+1/2,z+3/4'
'x+1/2,y,z+1/2'
'-x+1/2,-y,-z+1/2'
'-x+3/4,-y+1/4,z+1/2'
'x+3/4,y+1/4,-z+1/2'
'x+1/2,-y+1/4,-z+3/4'
'-x+1/2,y+1/4,z+3/4'
'-x+3/4,y,-z+3/4'
'x+3/4,-y,z+3/4'
'x+1/2,y+1/2,z'
'-x+1/2,-y+1/2,-z'
'-x+3/4,-y+3/4,z'
'x+3/4,y+3/4,-z'
'x+1/2,-y+3/4,-z+1/4'
'-x+1/2,y+3/4,z+1/4'
'-x+3/4,y+1/2,-z+1/4'
'x+3/4,-y+1/2,z+1/4'
loop_
_atom_site_label
_atom_site_type_symbol
_atom_site_fract_x
_atom_site_fract_y
_atom_site_fract_z
_atom_site_occupancy
Cs1 Cs 0.1250 0.1250 0.3025 1
Tl1 Tl 0.1250 0.1250 0.1250 1
Pt1 Pt 0.1250 0.1250 0.6250 1
O1 O 0.0967 0.2810 0.8742 1
```

Entry 11:
DFT (GGA-PBE) results for Ba2AuSe after structural relaxation.

Calculated volume (Å³/f.u.): 167.7
Density of states at the Fermi level (states/eV/cell): 10.14
Total energy (eV per atom): -3.746

CIF file:
```
data_Ba2AuSe
_cell_length_a 8.4962
_cell_length_b 8.4962
_cell_length_c 9.2917
_cell_angle_alpha 90.00
_cell_angle_beta 90.00
_cell_angle_gamma 90.00
_symmetry_space_group_name_H-M 'I -4 2 d'
_symmetry_Int_Tables_number 122
_symmetry_space_group_name_Hall 'I -4 2bw'
loop_
_atom_site_label
_atom_site_type_symbol
_atom_site_fract_x
_atom_site_fract_y
_atom_site_fract_z
_atom_site_occupancy
Ba1 Ba 0.2403 0.2500 0.1250 1
Au1 Au 0.0000 0.0000 0.5000 1
Se1 Se 0.0000 0.0000 0.0000 1
```

Entry 12:
DFT (GGA-PBE) results for NaRe2Si after structural relaxation.

Calculated volume (Å³/f.u.): 73.0
Density of states at the Fermi level (states/eV/cell): 9.50
Total energy (eV per atom): -6.987

CIF file:
```
data_NaRe2Si
_cell_length_a 3.9791
_cell_length_b 3.9791
_cell_length_c 18.4466
_cell_angle_alpha 90.00
_cell_angle_beta 90.00
_cell_angle_gamma 90.00
_symmetry_space_group_name_H-M 'I -4 2 d'
_symmetry_Int_Tables_number 122
_symmetry_space_group_name_Hall 'I -4 2bw'
loop_
_atom_site_label
_atom_site_type_symbol
_atom_site_fract_x
_atom_site_fract_y
_atom_site_fract_z
_atom_site_occupancy
Na1 Na 0.0000 0.0000 0.0000 1
Re1 Re 0.1675 0.7500 0.6250 1
Si1 Si 0.0000 0.0000 0.5000 1
```